1.
A plane-wave DFT calculation with GGA-PBE was carried out for Ce2Cu3 after structural relaxation.

* size of the total moment: 4.5 μB per cell
* formation energy: -0.071 eV per atom

abc: 5.840 7.475 8.800
angles: 90.00 90.00 90.00
Atoms (fractional coordinates):
Ce (0.126, 0.184, 0.908)
Ce (0.374, 0.316, 0.408)
Ce (0.874, 0.184, 0.592)
Ce (0.626, 0.316, 0.092)
Ce (0.874, 0.816, 0.092)
Ce (0.626, 0.684, 0.592)
Ce (0.126, 0.816, 0.408)
Ce (0.374, 0.684, 0.908)
Cu (0.870, 0.526, 0.862)
Cu (0.630, 0.974, 0.362)
Cu (0.130, 0.526, 0.638)
Cu (0.370, 0.974, 0.138)
Cu (0.130, 0.474, 0.138)
Cu (0.370, 0.026, 0.638)
Cu (0.870, 0.474, 0.362)
Cu (0.630, 0.026, 0.862)
Cu (0.000, 0.841, 0.750)
Cu (0.500, 0.659, 0.250)
Cu (0.000, 0.159, 0.250)
Cu (0.500, 0.341, 0.750)


2.
A plane-wave DFT calculation with GGA-PBE was carried out for Hf2ScAl after structural relaxation.

* size of the total moment: 0.0 μB per cell
* formation energy: 0.331 eV per atom

abc: 7.873 7.873 6.258
angles: 51.02 51.02 90.00
Atoms (fractional coordinates):
Sc (0.000, 0.000, 0.000)
Sc (0.750, 0.250, 0.500)
Hf (0.603, 0.125, 0.250)
Hf (0.147, 0.625, 0.250)
Hf (0.375, 0.397, 0.750)
Hf (0.875, 0.853, 0.750)
Al (0.500, 0.500, 0.000)
Al (0.250, 0.750, 0.500)


3.
A plane-wave DFT calculation with GGA-PBE was carried out for Dy4Te5Pt after structural relaxation.

* size of the total moment: 0.0 μB per cell
* total energy: -5.1844 eV per atom

abc: 4.259 8.670 9.626
angles: 103.79 102.78 90.00
Atoms (fractional coordinates):
Dy (0.332, 0.905, 0.665)
Dy (0.998, 0.754, 0.996)
Dy (0.668, 0.095, 0.335)
Dy (0.002, 0.246, 0.004)
Te (0.835, 0.663, 0.670)
Te (0.836, 0.166, 0.671)
Te (0.164, 0.834, 0.329)
Te (0.500, 0.500, 0.000)
Te (0.165, 0.337, 0.330)
Pt (0.500, 0.000, 0.000)


> Which value of size of the total moment does entry 3 give?

0.0 μB per cell